16
Lattice="2.065 -6.999 0.000 2.065 6.999 0.000 0.000 0.000 13.579" Properties=species:S:1:pos:R:3 comment="BaPu2GeP4 PBE-GGA relaxed" e_form_kj_per_mol_atoms=-77 spacegroup=Cmcm crystal_system=orthorhombic pbc="T T T"
Ba 2.065 5.449 10.185
Ba 2.065 -5.449 3.395
Pu 2.065 1.801 7.508
Pu 2.065 1.801 12.861
Pu 2.065 -1.801 0.719
Pu 2.065 -1.801 6.071
Ge 2.065 4.760 3.395
Ge 2.065 -4.760 10.185
P 0.000 0.000 0.000
P 0.000 0.000 6.790
P 2.065 3.382 1.518
P 2.065 3.382 5.272
P 2.065 0.951 10.185
P 2.065 -0.951 3.395
P 2.065 -3.382 8.308
P 2.065 -3.382 12.061


4
Lattice="2.052 1.185 6.720 -2.052 1.185 6.720 0.000 -2.369 6.720" Properties=species:S:1:pos:R:3 comment="LiTlS2 PBE-GGA relaxed" e_form_raw_ev_per_atom=-0.566 spacegroup=R3m crystal_system=trigonal pbc="T T T"
Li 0.000 0.000 0.000
Tl 0.000 0.000 10.495
S 0.000 0.000 2.573
S 0.000 0.000 12.930


4
Lattice="1.442 0.833 9.474 -1.442 0.833 9.474 0.000 -1.666 9.474" Properties=species:S:1:pos:R:3 comment="SrRe2Ni PBE-GGA relaxed" e_form_kj_per_mol_atoms=74 spacegroup=R3m crystal_system=trigonal relative_energy_ev_per_fu=1.44 pbc="T T T"
Sr 0.000 0.000 0.000
Re 0.000 0.000 6.630
Re 0.000 0.000 14.025
Ni 0.000 0.000 21.494


8
Lattice="-2.330 2.330 4.712 2.330 -2.330 4.712 2.330 2.330 -4.712" Properties=species:S:1:pos:R:3 comment="TaZn3N4 PBE-GGA relaxed" e_form_raw_ev_per_atom=-0.218 spacegroup=I-42m crystal_system=tetragonal pbc="T T T"
Ta 0.000 0.000 0.000
Zn 2.330 0.000 2.356
Zn 0.000 0.000 4.712
Zn 0.000 2.330 2.356
N 1.204 -1.204 3.572
N 1.126 1.126 1.140
N -1.204 1.204 3.572
N 1.204 1.204 5.851


5
Lattice="3.733 0.000 0.000 0.000 3.733 0.000 0.000 0.000 5.451" Properties=species:S:1:pos:R:3 comment="BOsSeN2 PBE-GGA relaxed" e_form_raw_ev_per_atom=1.271 spacegroup=P4/mmm crystal_system=tetragonal relative_energy_ev_per_fu=0.00 pbc="T T T"
B 0.000 0.000 0.000
Os 1.866 1.866 2.725
Se 1.866 1.866 0.000
N 0.000 1.866 2.725
N 1.866 0.000 2.725


20
Lattice="8.257 0.000 0.000 0.000 8.393 0.000 -8.182 0.000 11.643" Properties=species:S:1:pos:R:3 comment="Cs2AcAgBr6 PBE-GGA relaxed" e_form_raw_ev_per_atom=-1.610 spacegroup=P2_1/c crystal_system=monoclinic pbc="T T T"
Cs -0.079 0.386 2.897
Cs -4.170 3.811 8.718
Cs 4.245 4.582 2.925
Cs 0.155 8.007 8.746
Ac 4.129 0.000 0.000
Ac 0.038 4.196 5.821
Ag -4.091 0.000 5.821
Ag 0.000 4.196 0.000
Br -6.454 1.814 11.254
Br -2.363 2.382 5.432
Br -5.838 5.963 11.283
Br -1.747 6.626 5.462
Br -3.556 0.078 8.652
Br 0.535 4.119 2.830
Br -0.459 4.274 8.812
Br 3.632 8.315 2.991
Br 1.822 1.766 6.181
Br 5.913 2.430 0.360
Br 2.438 6.011 6.211
Br 6.529 6.578 0.389


4
Lattice="-1.595 2.499 4.407 1.595 -2.499 4.407 1.595 2.499 -4.407" Properties=species:S:1:pos:R:3 comment="CdSiP2 PBE-GGA relaxed" e_form_raw_ev_per_atom=0.460 spacegroup=Imm2 crystal_system=orthorhombic relative_energy_ev_per_fu=2.64 pbc="T T T"
Cd 0.000 0.000 0.000
Si 0.000 2.499 1.793
P 1.595 0.000 2.553
P 0.000 0.000 4.225


4
Lattice="3.886 0.000 0.000 0.000 3.886 0.000 0.000 0.000 3.864" Properties=species:S:1:pos:R:3 comment="MoOs2Rh PBE-GGA relaxed" e_form_kj_per_mol_atoms=-5 spacegroup=P4/mmm crystal_system=tetragonal relative_energy_ev_per_fu=0.00 pbc="T T T"
Mo 0.000 0.000 0.000
Os 0.000 1.943 1.932
Os 1.943 0.000 1.932
Rh 1.943 1.943 0.000


5
Lattice="4.640 0.000 0.000 0.000 4.640 0.000 0.000 0.000 5.783" Properties=species:S:1:pos:R:3 comment="KNaIF2 PBE-GGA relaxed" e_form_raw_ev_per_atom=-1.481 spacegroup=P4/mmm crystal_system=tetragonal pbc="T T T"
K 0.000 0.000 0.000
Na 0.000 0.000 2.892
I 2.320 2.320 0.000
F 0.000 2.320 2.892
F 2.320 0.000 2.892


10
Lattice="4.184 0.000 0.000 0.000 4.184 0.000 0.000 0.000 9.363" Properties=species:S:1:pos:R:3 comment="Np2TcP4Ir3 PBE-GGA relaxed" e_form_kj_per_mol_atoms=-68 spacegroup=P-4m2 crystal_system=tetragonal pbc="T T T"
Np 0.000 2.092 2.249
Np 2.092 0.000 7.114
Tc 0.000 0.000 4.681
P 0.000 0.000 0.000
P 0.000 2.092 5.910
P 2.092 0.000 3.452
P 2.092 2.092 0.000
Ir 0.000 2.092 8.284
Ir 2.092 0.000 1.079
Ir 2.092 2.092 4.681


20
Lattice="7.563 4.367 3.368 -7.563 4.367 3.368 0.000 -8.733 3.368" Properties=species:S:1:pos:R:3 comment="Sc7SeI12 PBE-GGA relaxed" e_form_raw_ev_per_atom=-1.174 spacegroup=R-3 crystal_system=trigonal pbc="T T T"
Sc 0.000 0.000 0.000
Sc -2.034 -0.578 3.588
Sc 1.517 -1.472 3.588
Sc 0.516 2.050 3.588
Sc -0.516 -2.050 6.515
Sc -1.517 1.472 6.515
Sc 2.034 0.578 6.515
Se 0.000 0.000 5.051
I -0.578 -2.342 1.702
I -1.739 1.672 1.702
I -2.928 -2.958 5.015
I -4.026 1.057 5.088
I 2.317 0.670 1.702
I 1.098 -4.015 5.088
I -1.098 4.015 5.015
I -2.317 -0.670 8.400
I 4.026 -1.057 5.015
I 2.928 2.958 5.088
I 1.739 -1.672 8.400
I 0.578 2.342 8.400


8
Lattice="-3.829 3.829 3.550 3.829 -3.829 3.550 3.829 3.829 -3.550" Properties=species:S:1:pos:R:3 comment="CsGa2O PBE-GGA relaxed" e_form_raw_ev_per_atom=-0.265 spacegroup=I-42d crystal_system=tetragonal pbc="T T T"
Cs 0.000 0.000 0.000
Cs 0.000 3.829 1.775
Ga 1.915 -0.918 2.662
Ga 2.911 1.915 0.887
Ga 1.915 4.748 -0.887
Ga 0.918 1.915 4.437
O 3.829 0.000 1.775
O 0.000 0.000 3.550


| no. | total magnetic moment (μB/cell) |
| --- | --- |
| 1 | 19.30 |
| 2 | 0.00 |
| 3 | 0.00 |
| 4 | 0.01 |
| 5 | 0.21 |
| 6 | 0.00 |
| 7 | 0.00 |
| 8 | 0.00 |
| 9 | 1.00 |
| 10 | 7.11 |
| 11 | 0.96 |
| 12 | 0.00 |